Density functional theory data (PBE-GGA) for a relaxed structure of NbMoCl.

The uncorrected formation energy is -146 meV/atom. The value obtained for the volume is 23.1 Å³ per atom. The energy above the lowest structure with this stoichiometry is 0.2735 eV/atom. The value obtained for the electronic total energy is -7.7289 eV per atom.

The structure belongs to space group P1 (No. 1); the cell edges are 3.1698, 4.6208 and 9.5935 Å and the angles 82.53°, 87.74° and 84.04°. The distinct sites, in fractional coordinates, are Nb at (0.0000, 0.0000, 0.0000), Nb at (0.4281, 0.2111, 0.7361), Mo at (0.6339, 0.5705, 0.9003), Mo at (0.9777, 0.7589, 0.6861), Cl at (0.4852, 0.9480, 0.2038) and Cl at (0.9499, 0.3549, 0.5185).